[1]
## Ba3Ga2Hg2 (PBE)

Data for Ba3Ga2Hg2 after structural relaxation.

Cell and atoms, written as POSCAR:
```
Ba3Ga2Hg2
1.0
6.4236 -2.2298 0.0000
6.4236 2.2298 0.0000
-4.0697 0.0000 8.6217
Ba Ga Hg
3 2 2
direct
0.0000 0.0000 0.0000
0.1824 0.1824 0.6466
0.8176 0.8176 0.3534
0.3001 0.3001 0.0541
0.6999 0.6999 0.9459
0.4738 0.4738 0.6729
0.5262 0.5262 0.3271
```

Summary:
DFT formation energy = -0.452 eV per atom
total magnetization = 0.00 Bohr magnetons per cell
E = -2.227 eV/atom
theoretical density = 6.4 g/cm3

---

[2]
## HoIn5 (PBE)

Data for HoIn5 after structural relaxation.

Cell and atoms, written as POSCAR:
```
HoIn5
1.0
3.2059 -3.2293 0.0000
3.2059 3.2293 0.0000
-1.5217 0.0000 7.4984
Ho In
1 5
direct
0.0000 0.0000 0.0000
0.0790 0.5774 0.3213
0.4226 0.9210 0.6787
0.5000 0.5000 0.0000
0.5774 0.0790 0.3213
0.9210 0.4226 0.6787
```

Summary:
DFT formation energy = -0.207 eV per atom
total magnetization = 0.00 Bohr magnetons per cell
distance to the lowest polymorph of the same formula = 0 meV per atom
E = -3.252 eV/atom
theoretical density = 7.9 g/cm3

---

[3]
## Cs3RbBi (PBE)

Data for Cs3RbBi after structural relaxation.

Cell and atoms, written as POSCAR:
```
Cs3RbBi
1.0
7.6983 0.0000 0.0000
0.0000 7.6983 0.0000
0.0000 0.0000 7.6983
Cs Rb Bi
3 1 1
direct
0.0000 0.0000 0.5000
0.0000 0.5000 0.0000
0.5000 0.0000 0.0000
0.5000 0.5000 0.5000
0.0000 0.0000 0.0000
```

Summary:
DFT formation energy = -0.120 eV per atom
total magnetization = 1.05 Bohr magnetons per cell
distance to the lowest polymorph of the same formula = 0 meV per atom
E = -1.602 eV/atom
theoretical density = 2.5 g/cm3

---

[4]
## RbBe2Hg (PBE)

Data for RbBe2Hg after structural relaxation.

Cell and atoms, written as POSCAR:
```
RbBe2Hg
1.0
-2.6238 2.6238 7.8098
2.6238 -2.6238 7.8098
2.6238 2.6238 -7.8098
Rb Be Hg
2 4 2
direct
0.3750 0.6250 0.7500
0.6250 0.3750 0.2500
0.0000 0.0000 0.0000
0.0000 0.0000 0.5000
0.0000 0.5000 0.0000
0.5000 0.0000 0.5000
0.1250 0.8750 0.2500
0.8750 0.1250 0.7500
```

Summary:
DFT formation energy = 0.619 eV per atom
total magnetization = 0.00 Bohr magnetons per cell
E = -1.562 eV/atom
theoretical density = 4.7 g/cm3